Cs2RbGe2Br7 (PBE, relaxed); energy relative to the elements, uncorrected = -1.206 eV per atom
1.0
-0.1301 -5.6386 -0.4460
1.0168 0.3341 -5.5555
14.7700 -3.0766 -0.2810
Br Ge Rb Cs
7 2 1 2
Cartesian
5.9788 -2.7880 -1.9169
3.6586 -2.5874 -5.3900
9.6779 -5.5931 -4.3656
0.4433 -2.6522 -3.0007
12.5900 -2.7110 -3.5297
3.0667 -5.6701 -2.7528
11.9980 -5.7937 -0.8925
3.2243 -2.6427 -2.3654
12.4324 -5.7384 -3.9171
0.0000 0.0000 0.0000
9.5846 -2.9064 -1.2459
6.0721 -5.4747 -5.0365

=====

CsRbGeBr4 (PBE, relaxed); energy relative to the elements, uncorrected = -1.278 eV per atom
1.0
-4.0649 -0.0967 3.8051
-3.3483 -2.5570 -3.6418
6.6029 -6.5860 2.8114
Ge Br Cs Rb
1 4 1 1
Cartesian
-0.8186 -9.2173 2.9664
0.9410 -2.5710 0.9400
-1.7159 -6.7655 2.0700
1.2025 -9.1379 1.0525
0.8442 -7.9077 4.7760
-2.8832 -3.5765 0.9041
2.0848 -5.6959 2.0824

=====

CsRb2Ge2Br7 (PBE, relaxed); energy relative to the elements, uncorrected = -1.196 eV per atom
1.0
5.6483 0.0414 0.0131
0.0483 5.6483 0.0131
2.7888 2.7854 14.2775
Br Ge Rb Cs
7 2 2 1
Cartesian
2.9010 5.7720 2.8710
2.7099 5.5812 11.4328
2.8483 2.8448 0.0131
2.7943 2.7909 5.6635
5.6911 5.6842 8.6402
5.5845 2.7031 11.4328
5.7755 2.8939 2.8710
2.7467 2.7433 2.9184
5.7388 5.7318 11.3853
2.7747 2.7713 9.1175
5.7108 5.7038 5.1863
0.0000 0.0000 0.0000

=====

Cs3RbGe2Br9 (PBE, relaxed); energy relative to the elements, uncorrected = -1.209 eV per atom; DOS at the Fermi energy = 0.3170 states/eV/atom
1.0
-6.0974 0.3760 -5.1326
2.6648 -7.0871 2.5169
-7.0749 0.3334 8.4293
Br Cs Ge Rb
9 3 2 1
Cartesian
-1.7163 -3.3555 -1.3078
-3.0487 0.1880 -2.5663
-3.7898 -5.4994 1.1744
-0.9141 -5.6767 3.5950
-8.3366 -4.0434 3.4057
-9.5934 -0.7009 2.2186
1.3324 -3.5436 1.2585
-6.7177 -0.8783 4.6393
-2.1709 -2.3342 2.4080
-5.4402 -4.3551 6.1439
0.0000 0.0000 0.0000
-5.0673 -2.0226 -0.3302
-1.3519 -4.5477 1.2729
-9.1556 -1.8299 4.5408
-3.5374 0.1667 4.2146

=====

Cs2GeSBr6 (PBE, relaxed); energy relative to the elements, uncorrected = -0.832 eV per atom; DOS at the Fermi energy = 0.0132 states/eV/atom
1.0
7.4710 0.0000 0.0000
0.0000 7.4710 0.0000
3.7355 3.7355 6.4840
Ge Br Cs S
1 6 2 1
Cartesian
0.0000 0.0000 0.0000
5.5298 1.9412 0.0000
3.7355 3.7355 3.7790
7.4710 7.4710 2.7050
1.9412 1.9412 0.0000
5.5298 5.5298 0.0000
1.9412 5.5298 0.0000
3.7355 7.4710 3.2420
7.4710 3.7355 3.2420
3.7355 3.7355 0.0000

=====

CsGe2SbBr8 (PBE, relaxed); energy relative to the elements, uncorrected = -0.760 eV per atom; DOS at the Fermi energy = 0.0000 states/eV/atom
1.0
7.4445 0.4277 0.1748
0.5190 6.8232 -0.2130
0.2162 -0.3868 10.2561
Br Ge Sb Cs
8 2 1 1
Cartesian
3.1497 1.7389 6.1690
5.0300 5.1251 4.0489
5.6272 5.5850 0.2007
2.5524 1.2790 10.0172
6.6026 2.1718 2.2644
1.5770 4.6922 7.9535
6.2898 1.5207 8.4898
1.8899 5.3434 1.7281
4.5337 4.0096 1.9335
3.6460 2.8545 8.2844
0.0000 0.0000 0.0000
0.1081 -0.1934 5.1280

=====

Cs2GeSbBr6 (PBE, relaxed); energy relative to the elements, uncorrected = -1.018 eV per atom; DOS at the Fermi energy = 0.4500 states/eV/atom
1.0
-1.8842 -4.4034 -6.4885
-0.3929 -6.6118 4.6012
-6.7017 -4.5194 0.0012
Br Cs Ge Sb
6 2 1 1
Cartesian
-0.7712 -6.0516 1.7881
-1.6995 -8.2210 -1.4086
-3.8769 -5.0212 -0.4786
-5.1020 -10.5134 -1.4075
-1.5059 -4.9636 -3.6754
-0.5776 -2.7942 -0.4787
-4.8622 -7.2152 -3.7155
-4.1166 -8.3194 1.8294
-1.1386 -5.5076 -0.9436
0.0000 0.0000 0.0000

=====

CsScGe2Br8 (PBE, relaxed); energy relative to the elements, uncorrected = -1.144 eV per atom; DOS at the Fermi energy = 0.0000 states/eV/atom
1.0
6.9964 2.0311 0.0784
1.7359 7.0734 0.0909
-0.0669 -0.0854 9.4962
Br Cs Ge Sc
8 1 2 1
Cartesian
5.7922 6.0235 4.1268
2.8731 2.9956 5.5387
3.8324 7.3213 8.0574
3.0772 5.3540 1.6323
7.8759 7.0101 8.0929
5.5881 3.6651 8.0333
4.8330 1.6978 1.6081
0.7894 2.0090 1.5726
-0.0335 -0.0427 4.7481
2.8544 2.9653 7.9851
5.8109 6.0538 1.6805
0.0000 0.0000 0.0000

=====

CsGeSeBr2 (PBE, relaxed); excess energy over the best structure of this formula in the dataset = 0.00 eV/f.u.; energy relative to the elements, uncorrected = -0.770 eV per atom; DOS at the Fermi energy = 1.2316 states/eV/atom
1.0
-4.1595 0.9794 -3.7303
-3.1179 -4.0831 2.4046
-2.0527 3.4486 3.1943
Br Cs Ge Se
2 1 1 1
Cartesian
-2.0797 0.4897 -1.8651
-1.5590 -2.0416 1.2023
-4.6650 0.1724 0.9343
0.0000 0.0000 0.0000
-1.0263 1.7243 1.5971

=====

CsGeSe2Br (PBE, relaxed); excess energy over the best structure of this formula in the dataset = 6.92 eV/f.u.; energy relative to the elements, uncorrected = 0.853 eV per atom; DOS at the Fermi energy = 0.5810 states/eV/atom
1.0
-5.6903 0.0631 0.4038
0.3463 -2.2471 5.2323
0.2412 5.8306 2.4881
Cs Se Br Ge
1 2 1 1
Cartesian
0.0000 0.0000 0.0000
0.1732 -1.1236 2.6161
-2.8451 0.0316 0.2019
0.1206 2.9153 1.2441
-2.5514 1.8233 4.0621

=====

CsGeSe2Br (PBE, relaxed); excess energy over the best structure of this formula in the dataset = 0.00 eV/f.u.; energy relative to the elements, uncorrected = -0.530 eV per atom; DOS at the Fermi energy = 0.4326 states/eV/atom
1.0
-1.2415 -4.7568 -1.3690
4.9449 -1.2551 -0.1234
-0.2593 -1.5870 5.7496
Cs Br Se Ge
1 1 2 1
Cartesian
1.7221 -3.7995 2.1286
-0.1297 -0.7935 2.8748
2.4725 -0.6275 -0.0617
-0.6208 -2.3784 -0.6845
0.0000 0.0000 0.0000

=====

CsGeSeBr2 (PBE, relaxed); excess energy over the best structure of this formula in the dataset = 6.41 eV/f.u.; energy relative to the elements, uncorrected = 0.513 eV per atom; DOS at the Fermi energy = 1.0325 states/eV/atom
1.0
6.3816 0.0000 0.0000
0.0000 6.3816 0.0000
0.0000 0.0000 5.8169
Cs Br Ge Se
1 2 1 1
Cartesian
0.0000 0.0000 0.0000
3.1908 0.0000 0.0000
0.0000 3.1908 0.0000
3.1908 3.1908 2.9085
0.0000 0.0000 2.9085